Sm3Y4Hg after structural relaxation, computed with PBE.

Cell: 3.610 3.610 19.213 Å, 90.00 90.00 90.00°
Element x y z (fractional)
Sm: 0.000 0.000 0.000
Sm: 0.000 0.000 0.264
Sm: 0.000 0.000 0.736
Y: 0.500 0.500 0.132
Y: 0.500 0.500 0.397
Y: 0.500 0.500 0.603
Y: 0.500 0.500 0.868
Hg: 0.000 0.000 0.500

Summary:
For the formation energy, the calculation gives -0.113 eV/atom.

Sm8BC3Br4 after structural relaxation, computed with PBE.

Cell: 8.538 8.538 8.538 Å, 53.13 53.13 53.13°
Element x y z (fractional)
Sm: 0.223 0.731 0.731
Sm: 0.227 0.227 0.227
Sm: 0.269 0.269 0.777
Sm: 0.269 0.777 0.269
Sm: 0.731 0.223 0.731
Sm: 0.731 0.731 0.223
Sm: 0.773 0.773 0.773
Sm: 0.777 0.269 0.269
B: 0.500 0.500 0.500
C: 0.000 0.000 0.500
C: 0.000 0.500 0.000
C: 0.500 0.000 0.000
Br: 0.000 0.000 0.000
Br: 0.000 0.500 0.500
Br: 0.500 0.000 0.500
Br: 0.500 0.500 0.000

Summary:
For the energy relative to the elements, uncorrected, the calculation gives -0.872 eV per atom.

Cd8InAu2 after structural relaxation, computed with PBE.

Cell: 7.432 7.432 5.330 Å, 98.31 98.31 112.91°
Element x y z (fractional)
Cd: 0.080 0.318 0.615
Cd: 0.249 0.751 0.000
Cd: 0.318 0.080 0.615
Cd: 0.385 0.385 0.187
Cd: 0.615 0.615 0.813
Cd: 0.682 0.920 0.385
Cd: 0.751 0.249 0.000
Cd: 0.920 0.682 0.385
In: 0.000 0.000 0.000
Au: 0.311 0.689 0.500
Au: 0.689 0.311 0.500

Summary:
For the formation energy, the calculation gives -0.042 eV/atom.

KFe2Au after structural relaxation, computed with PBE.

Cell: 2.856 2.856 9.596 Å, 90.00 90.00 90.00°
Element x y z (fractional)
K: 0.000 0.000 0.000
Fe: 0.500 0.500 0.304
Fe: 0.500 0.500 0.696
Au: 0.000 0.000 0.500

Summary:
For the formation energy, the calculation gives 0.797 eV/atom.

CePmCu10 after structural relaxation, computed with PBE.

Cell: 4.120 5.119 8.796 Å, 90.00 90.00 90.00°
Element x y z (fractional)
Ce: 0.000 0.000 0.000
Pm: 0.000 0.500 0.500
Cu: 0.000 0.000 0.333
Cu: 0.000 0.000 0.667
Cu: 0.000 0.500 0.166
Cu: 0.000 0.500 0.834
Cu: 0.500 0.000 0.500
Cu: 0.500 0.250 0.250
Cu: 0.500 0.250 0.750
Cu: 0.500 0.500 0.000
Cu: 0.500 0.750 0.250
Cu: 0.500 0.750 0.750

Summary:
For the formation energy, the calculation gives -0.138 eV/atom.

YMg2Fe after structural relaxation, computed with PBE.

Cell: 4.286 4.286 9.151 Å, 90.00 90.00 90.00°
Element x y z (fractional)
Y: 0.000 0.000 0.000
Y: 0.500 0.500 0.500
Mg: 0.000 0.500 0.250
Mg: 0.000 0.500 0.750
Mg: 0.500 0.000 0.250
Mg: 0.500 0.000 0.750
Fe: 0.000 0.000 0.500
Fe: 0.500 0.500 0.000

Summary:
For the formation energy, the calculation gives 0.213 eV/atom.

Pr2SnH after structural relaxation, computed with PBE.

Cell: 4.423 4.423 18.631 Å, 90.00 90.00 120.00°
Element x y z (fractional)
Pr: 0.000 0.000 0.238
Pr: 0.000 0.000 0.762
Pr: 0.333 0.667 0.429
Pr: 0.333 0.667 0.905
Pr: 0.667 0.333 0.095
Pr: 0.667 0.333 0.571
Sn: 0.000 0.000 0.000
Sn: 0.333 0.667 0.667
Sn: 0.667 0.333 0.333
H: 0.000 0.000 0.500
H: 0.333 0.667 0.167
H: 0.667 0.333 0.833

Summary:
The calculation puts the offset from the most stable computed form at 0.94 eV/f.u.

TmTePd2 after structural relaxation, computed with PBE.

Cell: 4.310 4.310 4.269 Å, 90.00 90.00 90.00°
Element x y z (fractional)
Tm: 0.000 0.000 0.000
Te: 0.500 0.500 0.000
Pd: 0.000 0.500 0.500
Pd: 0.500 0.000 0.500

Summary:
The calculation puts the offset from the most stable computed form at 0.00 eV/f.u. For the energy relative to the elements, uncorrected, the calculation gives -0.756 eV per atom.

TaTlSi2As after structural relaxation, computed with PBE.

Cell: 4.828 4.828 4.925 Å, 90.00 90.00 90.00°
Element x y z (fractional)
Ta: 0.000 0.000 0.000
Tl: 0.500 0.500 0.000
Si: 0.000 0.500 0.500
Si: 0.500 0.000 0.500
As: 0.000 0.000 0.500

Summary:
For the energy relative to the elements, uncorrected, the calculation gives 1.084 eV per atom.

LiNd4Ir2 after structural relaxation, computed with PBE.

Cell: 8.369 8.369 8.344 Å, 119.81 119.81 82.15°
Element x y z (fractional)
Li: 0.018 0.982 0.750
Li: 0.982 0.018 0.250
Nd: 0.244 0.755 0.967
Nd: 0.245 0.756 0.533
Nd: 0.298 0.308 0.053
Nd: 0.308 0.298 0.553
Nd: 0.692 0.702 0.447
Nd: 0.702 0.692 0.947
Nd: 0.755 0.244 0.467
Nd: 0.756 0.245 0.033
Ir: 0.000 0.500 0.500
Ir: 0.500 0.000 0.000
Ir: 0.500 0.500 0.000
Ir: 0.500 0.500 0.500

Summary:
For the formation energy, the calculation gives -0.289 eV/atom.

Pr2LuAl after structural relaxation, computed with PBE.

Cell: 4.858 4.858 4.874 Å, 90.00 90.00 90.00°
Element x y z (fractional)
Pr: 0.000 0.500 0.000
Pr: 0.500 0.000 0.000
Lu: 0.000 0.000 0.500
Al: 0.500 0.500 0.500

Summary:
The calculation puts the offset from the most stable computed form at 0.00 eV/f.u. For the formation energy, the calculation gives -0.156 eV/atom.

PmCdAu2 after structural relaxation, computed with PBE.

Cell: 7.097 7.097 7.097 Å, 90.00 90.00 90.00°
Element x y z (fractional)
Pm: 0.000 0.000 0.000
Pm: 0.000 0.500 0.500
Pm: 0.500 0.000 0.500
Pm: 0.500 0.500 0.000
Cd: 0.000 0.000 0.500
Cd: 0.000 0.500 0.000
Cd: 0.500 0.000 0.000
Cd: 0.500 0.500 0.500
Au: 0.250 0.250 0.250
Au: 0.250 0.250 0.750
Au: 0.250 0.750 0.250
Au: 0.250 0.750 0.750
Au: 0.750 0.250 0.250
Au: 0.750 0.250 0.750
Au: 0.750 0.750 0.250
Au: 0.750 0.750 0.750

Summary:
The calculation puts the offset from the most stable computed form at 0.00 eV/f.u. For the formation energy, the calculation gives -0.645 eV/atom.

no.,energy (eV/cell)
1,-41.22
2,-92.75
3,-17.07
4,-18.11
5,-53.30
6,-34.52
7,-55.26
8,-21.02
9,-24.29
10,-81.46
11,-18.45
12,-59.19